# Zn2AsBr PBE optimized geometry
# calculated volume: 22.35 A^3/atom
# raw formation energy: 19 meV per atom
# Fermi-level density of states: 3.12 states/eV/cell
# energy above the most stable polymorph in this dataset: 431 meV per atom
data_Zn2AsBr
_cell_length_a 3.868
_cell_length_b 6.244
_cell_length_c 7.402
_cell_angle_alpha 90.00
_cell_angle_beta 90.00
_cell_angle_gamma 90.00
_symmetry_space_group_name_H-M 'C m m m'
_symmetry_Int_Tables_number 65
_symmetry_space_group_name_Hall '-C 2 2'
loop_
_atom_site_label
_atom_site_type_symbol
_atom_site_fract_x
_atom_site_fract_y
_atom_site_fract_z
Zn1 Zn 0.000 0.000 0.220
As1 As 0.000 0.500 0.000
Br1 Br 0.000 0.500 0.500